Record 1
VASP calculation (GGA-PBE) on CdTe2Cl after structural relaxation.

As for the energy above the most stable polymorph in this dataset: 1.05 eV/f.u. The uncorrected formation energy comes out at -0.099 eV per atom. Its space group is I-42d. The magnetic moment comes out at 0.000 μB per cell.

Cell: 11.500 11.500 11.500 Å, 155.77 155.77 34.54°
Atoms (fractional coordinates):
1 Cd 0.000 0.000 0.000
2 Cd 0.750 0.250 0.500
3 Te 0.031 0.625 0.906
4 Te 0.375 0.281 0.406
5 Te 0.719 0.125 0.094
6 Te 0.875 0.969 0.594
7 Cl 0.250 0.750 0.500
8 Cl 0.500 0.500 0.000

Record 2
VASP calculation (GGA-PBE) on CdTe3Cl after structural relaxation.

As for the energy above the most stable polymorph in this dataset: 0.49 eV/f.u. The uncorrected formation energy comes out at 0.617 eV per atom. Its space group is Pm-3m. The magnetic moment comes out at 0.000 μB per cell.

Cell: 5.434 5.434 5.434 Å, 90.00 90.00 90.00°
Atoms (fractional coordinates):
1 Cd 0.000 0.000 0.000
2 Te 0.000 0.500 0.500
3 Te 0.500 0.000 0.500
4 Te 0.500 0.500 0.000
5 Cl 0.500 0.500 0.500